1.
The following is a GGA-PBE calculation of YOs2Pd after structural relaxation, from the Alexandria database.

Results
- Excess energy over the best structure of this formula in the dataset: 0.217 eV/atom
- Energy of formation: 0.57 eV per atom
- Calculated volume: 17.3 Å³/atom
- Uncorrected energy: -7.96 eV per atom

Structure (POSCAR):
```
YOs2Pd
1.0
6.514 0.000 0.000
0.000 6.514 0.000
0.000 0.000 6.514
Y Os Pd
4 8 4
Direct
0.000 0.000 0.000
0.000 0.500 0.500
0.500 0.000 0.500
0.500 0.500 0.000
0.250 0.250 0.250
0.250 0.250 0.750
0.250 0.750 0.250
0.250 0.750 0.750
0.750 0.250 0.250
0.750 0.250 0.750
0.750 0.750 0.250
0.750 0.750 0.750
0.000 0.000 0.500
0.000 0.500 0.000
0.500 0.000 0.000
0.500 0.500 0.500
```

2.
The following is a GGA-PBE calculation of YOs2Pd after structural relaxation, from the Alexandria database.

Results
- Excess energy over the best structure of this formula in the dataset: 0.000 eV/atom
- Energy of formation: 0.35 eV per atom
- Calculated volume: 19.9 Å³/atom
- Uncorrected energy: -8.18 eV per atom

Structure (POSCAR):
```
YOs2Pd
1.0
4.009 0.000 0.000
0.000 4.009 0.000
0.000 0.000 19.850
Y Os Pd
4 8 4
Direct
0.000 0.000 0.000
0.000 0.500 0.250
0.500 0.000 0.750
0.500 0.500 0.500
0.161 0.250 0.625
0.250 0.661 0.875
0.250 0.839 0.375
0.339 0.250 0.125
0.661 0.750 0.125
0.750 0.161 0.375
0.750 0.339 0.875
0.839 0.750 0.625
0.000 0.000 0.500
0.000 0.500 0.750
0.500 0.000 0.250
0.500 0.500 0.000
```

3.
The following is a GGA-PBE calculation of YOs2Pd2 after structural relaxation, from the Alexandria database.

Results
- Excess energy over the best structure of this formula in the dataset: 0.181 eV/atom
- Energy of formation: 0.26 eV per atom
- Calculated volume: 17.1 Å³/atom
- Uncorrected energy: -7.61 eV per atom

Structure (POSCAR):
```
YOs2Pd2
1.0
7.875 0.000 0.000
0.000 7.875 0.000
0.000 0.000 2.752
Y Os Pd
2 4 4
Direct
0.000 0.000 0.000
0.500 0.500 0.000
0.178 0.322 0.500
0.322 0.822 0.500
0.678 0.178 0.500
0.822 0.678 0.500
0.120 0.620 0.000
0.380 0.120 0.000
0.620 0.880 0.000
0.880 0.380 0.000
```

4.
The following is a GGA-PBE calculation of Y2OsPd after structural relaxation, from the Alexandria database.

Results
- Energy of formation: 0.46 eV per atom
- Calculated volume: 23.9 Å³/atom
- Uncorrected energy: -6.88 eV per atom

Structure (POSCAR):
```
Y2OsPd
1.0
4.638 0.000 0.000
0.000 4.638 0.000
0.000 0.000 17.775
Y Os Pd
8 4 4
Direct
0.242 0.250 0.125
0.250 0.742 0.375
0.250 0.758 0.875
0.258 0.250 0.625
0.742 0.750 0.625
0.750 0.242 0.875
0.750 0.258 0.375
0.758 0.750 0.125
0.000 0.000 0.000
0.000 0.500 0.250
0.500 0.000 0.750
0.500 0.500 0.500
0.000 0.000 0.500
0.000 0.500 0.750
0.500 0.000 0.250
0.500 0.500 0.000
```

no.,M_tot (μB per formula unit),N(E_F) (states/eV/cell),density (Mg/m³)
1,0.0,26.0,13.84
2,0.0,22.8,11.99
3,0.0,14.7,13.28
4,0.0,10.9,8.24